(1)
Li3Y3ZrSe8 | PBE | relaxed

Computed properties:
- ΔE_f (raw): -1.625 eV per atom

Lattice parameters (Å, degrees): 7.9999 7.9999 7.9999 60.61 60.61 60.61
Sites, in units of the cell vectors:
Li: 0.0000 0.5000 0.5000
Li: 0.5000 0.0000 0.5000
Li: 0.5000 0.5000 0.0000
Y: 0.0000 0.0000 0.5000
Y: 0.0000 0.5000 0.0000
Y: 0.5000 0.0000 0.0000
Zr: 0.5000 0.5000 0.5000
Se: 0.2517 0.2517 0.2517
Se: 0.2591 0.2591 0.7367
Se: 0.2591 0.7367 0.2591
Se: 0.2633 0.7409 0.7409
Se: 0.7367 0.2591 0.2591
Se: 0.7409 0.2633 0.7409
Se: 0.7409 0.7409 0.2633
Se: 0.7483 0.7483 0.7483

=====

(2)
Li4Y3ZrSe8 | PBE | relaxed

Computed properties:
- ΔE_f (raw): -1.590 eV per atom
- D(E_F): 4.34 states/eV/f.u.

Lattice parameters (Å, degrees): 7.9811 7.9811 7.9811 60.11 60.11 60.11
Sites, in units of the cell vectors:
Li: 0.0000 0.0000 0.0000
Li: 0.0000 0.5000 0.5000
Li: 0.5000 0.0000 0.5000
Li: 0.5000 0.5000 0.0000
Y: 0.0000 0.0000 0.5000
Y: 0.0000 0.5000 0.0000
Y: 0.5000 0.0000 0.0000
Zr: 0.5000 0.5000 0.5000
Se: 0.2526 0.2526 0.2526
Se: 0.2546 0.2546 0.7380
Se: 0.2546 0.7380 0.2546
Se: 0.2620 0.7454 0.7454
Se: 0.7380 0.2546 0.2546
Se: 0.7454 0.2620 0.7454
Se: 0.7454 0.7454 0.2620
Se: 0.7474 0.7474 0.7474

=====

(3)
Li3Y2ZrSe6 | PBE | relaxed

Computed properties:
- ΔE_f (raw): -1.553 eV per atom
- D(E_F): 4.15 states/eV/f.u.

Lattice parameters (Å, degrees): 6.8753 6.8753 6.9199 99.57 99.57 119.98
Sites, in units of the cell vectors:
Li: 0.0000 0.0000 0.0000
Li: 0.3335 0.6665 0.0000
Li: 0.6665 0.3335 0.0000
Y: 0.1669 0.8331 0.5000
Y: 0.8331 0.1669 0.5000
Zr: 0.5000 0.5000 0.5000
Se: 0.0932 0.4146 0.2450
Se: 0.2632 0.2632 0.7527
Se: 0.4146 0.0932 0.2450
Se: 0.5854 0.9068 0.7550
Se: 0.7368 0.7368 0.2473
Se: 0.9068 0.5854 0.7550

=====

Q: Which of these has the highest ΔE_f (raw)?
A: Li3Y2ZrSe6

=====

Q: Which value of ΔE_f (raw) does entry 1 give?
A: -1.625 eV per atom

=====

Q: Which of these has the highest ΔE_f (raw)?
A: Li3Y2ZrSe6